# 1
VASP calculation (PBE) on a geometry-optimized TiV2CI structure.

Output
Raw formation energy   11.1 eV per formula unit

a = 4.9428 Å, b = 4.1756 Å, c = 4.9428 Å
α = 90.00°, β = 90.00°, γ = 90.00°
Last column: nearest neighbours and their distance in Å.
Fractional coordinates of all 5 atoms:
V  0.0000  0.0000  0.5000  2 I 2.47
V  0.5000  0.0000  0.0000  2 I 2.47
C  0.0000  0.5000  0.0000  2 I 2.09
Ti  0.5000  0.5000  0.5000  8 V 3.24, 4 C 3.50
I  0.0000  0.0000  0.0000  2 C 2.09

# 2
VASP calculation (PBE) on a geometry-optimized CaIr2Ru structure.

Output
Energy of formation   0.309 eV/atom
ΔE to the lowest computed polymorph   296.1 meV per atom

a = 2.8782 Å, b = 4.7676 Å, c = 4.7647 Å
α = 90.00°, β = 90.00°, γ = 90.00°
Last column: nearest neighbours and their distance in Å.
Fractional coordinates of all 4 atoms:
Ir  0.5000  0.5000  0.0000  4 Ca 2.78, 6 Ir 2.78-2.88
Ir  0.0000  0.0000  0.0000  4 Ru 2.78, 6 Ir 2.78-2.88
Ca  0.0000  0.5000  0.5000  4 Ir 2.78, 4 Ru 2.78, 2 Ca 2.88
Ru  0.5000  0.0000  0.5000  4 Ir 2.78, 4 Ca 2.78, 2 Ru 2.88

# 3
VASP calculation (PBE) on a geometry-optimized Y3Th5As8 structure.

Output
Energy of formation   -1.456 eV/atom

a = 8.4276 Å, b = 8.4276 Å, c = 8.4046 Å
α = 59.91°, β = 59.91°, γ = 60.00°
Last column: nearest neighbours and their distance in Å.
Fractional coordinates of all 16 atoms:
As  0.7551  0.2500  0.7450  2 Y 2.95, 4 Th 2.98-3.01
As  0.7500  0.7500  0.2550  2 Y 2.95, 4 Th 2.98-3.01
As  0.2500  0.7551  0.7450  2 Y 2.95, 4 Th 2.98-3.01
As  0.2478  0.2478  0.2566  3 Y 2.95, 3 Th 3.00
As  0.2449  0.7500  0.2550  2 Y 2.95, 4 Th 2.98-3.01
As  0.7522  0.7522  0.7434  3 Y 2.95, 3 Th 3.00
As  0.7500  0.2449  0.2550  2 Y 2.95, 4 Th 2.98-3.01
As  0.2500  0.2500  0.7450  2 Y 2.95, 4 Th 2.98-3.01
Y  0.0000  0.0000  0.5000  6 As 2.95
Y  0.0000  0.5000  0.5000  6 As 2.95
Y  0.5000  0.0000  0.5000  6 As 2.95
Th  0.0000  0.5000  0.0000  6 As 3.00-3.01
Th  0.0000  0.0000  0.0000  6 As 2.98
Th  0.5000  0.5000  0.0000  6 As 3.00-3.01
Th  0.5000  0.5000  0.5000  6 As 2.98
Th  0.5000  0.0000  0.0000  6 As 3.00-3.01

# 4
VASP calculation (PBE) on a geometry-optimized KMgBi2 structure.

Output
Energy of formation   -0.119 eV/atom

a = 5.3928 Å, b = 5.3928 Å, c = 6.9694 Å
α = 67.24°, β = 67.24°, γ = 60.00°
Last column: nearest neighbours and their distance in Å.
Fractional coordinates of all 4 atoms:
Bi  0.6992  0.6992  0.9023  3 Mg 3.17, 3 Bi 3.34
Bi  0.3008  0.3008  0.0977  3 Mg 3.17, 3 Bi 3.34
Mg  0.0000  0.0000  0.0000  6 Bi 3.17
K  0.5000  0.5000  0.5000  8 Bi 3.73-4.00

# 5
VASP calculation (PBE) on a geometry-optimized CrTePbN2 structure.

Output
Raw formation energy   3.7 eV per formula unit
ΔE to the lowest computed polymorph   0.0 meV per atom

a = 4.0755 Å, b = 4.0755 Å, c = 5.5298 Å
α = 90.00°, β = 90.00°, γ = 90.00°
Last column: nearest neighbours and their distance in Å.
Fractional coordinates of all 5 atoms:
Cr  0.0000  0.0000  0.0000  4 N 2.04
Te  0.0000  0.0000  0.5000  2 Cr 2.76, 4 Pb 2.88
N  0.0000  0.5000  0.0000  2 Cr 2.04
N  0.5000  0.0000  0.0000  2 Cr 2.04
Pb  0.5000  0.5000  0.5000  4 Te 2.88